Entry 1:
Below is an optimized crystal structure of Be8CuNi3, with properties calculated at the GGA-PBE level.

Output
**Calculated total energy**: -54.69 eV per cell
**Formation energy**: -332 kJ/mol of formula units
**V**: 102.70 Å³ per cell
**Magnetization**: 0.0 μB/f.u.

abc: 4.1935 4.1935 6.7437
angles: 90.00 90.00 120.00
Space group P3m1 (No. 156)
Asymmetric unit:
Be (0.0000, 0.0000, 0.0000) [1 per cell]
Be (0.0000, 0.0000, 0.4996) [1 per cell]
Be (0.1709, 0.3418, 0.2545) [3 per cell]
Be (0.3397, 0.1699, 0.7472) [3 per cell]
Cu (0.6667, 0.3333, 0.0604) [1 per cell]
Ni (0.3333, 0.6667, 0.5628) [1 per cell]
Ni (0.3333, 0.6667, 0.9418) [1 per cell]
Ni (0.6667, 0.3333, 0.4414) [1 per cell]

Entry 2:
Below is an optimized crystal structure of BeCu2Ni, with properties calculated at the GGA-PBE level.

Output
**Calculated total energy**: -35.45 eV per cell
**Formation energy**: -2 kJ/mol of formula units
**V**: 86.27 Å³ per cell
**Magnetization**: 0.0 μB/f.u.

abc: 4.7396 8.0747 2.4669
angles: 90.00 113.97 90.00
Space group C2/m (No. 12)
Asymmetric unit:
Be (0.0000, 0.0000, 0.0000) [2 per cell]
Cu (0.2500, 0.2500, 0.5000) [4 per cell]
Ni (0.0000, 0.5000, 0.0000) [2 per cell]

Entry 3:
Below is an optimized crystal structure of Be4CuNi7, with properties calculated at the GGA-PBE level.

Output
**Calculated total energy**: -118.52 eV per cell
**Formation energy**: 20 kJ/mol of formula units
**V**: 246.98 Å³ per cell
**Magnetization**: 0.0 μB/f.u.

abc: 10.6102 4.1954 6.6853
angles: 90.00 123.91 90.00
Space group C2/m (No. 12)
Asymmetric unit:
Be (0.0345, 0.0000, 0.2003) [4 per cell]
Be (0.1900, 0.0000, 0.8470) [4 per cell]
Cu (0.0000, 0.5000, 0.5000) [2 per cell]
Ni (0.0000, 0.0000, 0.5000) [2 per cell]
Ni (0.0748, 0.5000, 0.9154) [4 per cell]
Ni (0.2160, 0.5000, 0.3851) [4 per cell]
Ni (0.2265, 0.0000, 0.1889) [4 per cell]

Entry 4:
Below is an optimized crystal structure of BeCuNi6, with properties calculated at the GGA-PBE level.

Output
**Excess energy over the best structure of this formula in the dataset**: 0.000 eV per atom
**Calculated total energy**: -43.02 eV per cell
**Formation energy**: -49 kJ/mol of formula units
**V**: 84.81 Å³ per cell
**Magnetization**: 2.9 μB/f.u.

abc: 3.4986 3.4986 6.9290
angles: 90.00 90.00 90.00
Space group P4/mmm (No. 123)
Asymmetric unit:
Be (0.0000, 0.0000, 0.0000) [1 per cell]
Cu (0.0000, 0.0000, 0.5000) [1 per cell]
Ni (0.0000, 0.5000, 0.2395) [4 per cell]
Ni (0.5000, 0.5000, 0.0000) [1 per cell]
Ni (0.5000, 0.5000, 0.5000) [1 per cell]

Entry 5:
Below is an optimized crystal structure of BeCuNi2, with properties calculated at the GGA-PBE level.

Output
**Calculated total energy**: -59.77 eV per cell
**Formation energy**: -52 kJ/mol of formula units
**V**: 123.95 Å³ per cell
**Magnetization**: 0.0 μB/f.u.

abc: 2.4870 2.4870 23.1389
angles: 90.00 90.00 120.00
Space group R3m (No. 160, hexagonal axes)
Asymmetric unit:
Be (0.0000, 0.0000, 0.0000) [3 per cell]
Cu (0.0000, 0.0000, 0.1667) [3 per cell]
Ni (0.0000, 0.0000, 0.4083) [3 per cell]
Ni (0.0000, 0.0000, 0.5915) [3 per cell]

Entry 6:
Below is an optimized crystal structure of BeCu2Ni, with properties calculated at the GGA-PBE level.

Output
**Calculated total energy**: -18.31 eV per cell
**Formation energy**: -59 kJ/mol of formula units
**V**: 41.95 Å³ per cell
**Magnetization**: 0.0 μB/f.u.

abc: 2.5801 2.5801 6.3014
angles: 90.00 90.00 90.00
Space group P4mm (No. 99)
Asymmetric unit:
Be (0.0000, 0.0000, 0.0000) [1 per cell]
Cu (0.0000, 0.0000, 0.5208) [1 per cell]
Cu (0.5000, 0.5000, 0.2345) [1 per cell]
Ni (0.5000, 0.5000, 0.7992) [1 per cell]

Entry 7:
Below is an optimized crystal structure of BeCuNi6, with properties calculated at the GGA-PBE level.

Output
**Excess energy over the best structure of this formula in the dataset**: 0.003 eV per atom
**Calculated total energy**: -343.98 eV per cell
**Formation energy**: -47 kJ/mol of formula units
**V**: 678.16 Å³ per cell
**Magnetization**: 2.4 μB/f.u.

abc: 6.9430 9.8821 9.8841
angles: 90.00 90.00 90.00
Space group Cmmm (No. 65)
Asymmetric unit:
Be (0.0000, 0.0000, 0.2471) [4 per cell]
Be (0.0000, 0.2517, 0.0000) [4 per cell]
Cu (0.0000, 0.2525, 0.5000) [4 per cell]
Cu (0.0000, 0.5000, 0.2484) [4 per cell]
Ni (0.0000, 0.0000, 0.0000) [2 per cell]
Ni (0.0000, 0.0000, 0.5000) [2 per cell]
Ni (0.0000, 0.2479, 0.2436) [8 per cell]
Ni (0.0000, 0.5000, 0.0000) [2 per cell]
Ni (0.0000, 0.5000, 0.5000) [2 per cell]
Ni (0.2442, 0.1234, 0.3713) [16 per cell]
Ni (0.2456, 0.1263, 0.1218) [16 per cell]

Entry 8:
Below is an optimized crystal structure of BeCu2Ni, with properties calculated at the GGA-PBE level.

Output
**Calculated total energy**: -53.26 eV per cell
**Formation energy**: -5 kJ/mol of formula units
**V**: 128.25 Å³ per cell
**Magnetization**: 0.0 μB/f.u.

abc: 2.4948 2.4948 23.7918
angles: 90.00 90.00 120.00
Space group R-3m (No. 166, hexagonal axes)
Asymmetric unit:
Be (0.0000, 0.0000, 0.0000) [3 per cell]
Cu (0.0000, 0.0000, 0.2545) [6 per cell]
Ni (0.0000, 0.0000, 0.5000) [3 per cell]